No. 1
VASP calculation (GGA-PBE) on a relaxed structure of ZrTiNO2.

Computed properties:
Total energy ... -8.171 eV per atom
E_form (uncorrected) ... -119.0 kJ per mole of atoms
N(E_F) ... 5.39 states/eV/cell

Unit cell a=4.038 b=4.038 c=4.320 alpha=90.00 beta=90.00 gamma=90.00
Fractional coordinates of all 5 atoms:
N 0.000 0.000 0.500
O 0.000 0.500 0.000
O 0.500 0.000 0.000
Zr 0.000 0.000 0.000
Ti 0.500 0.500 0.500

=====

No. 2
VASP calculation (GGA-PBE) on a relaxed structure of Sr2FeSn4.

Computed properties:
Total energy ... -4.187 eV per atom
Formation enthalpy at 0 K ... -0.210 eV/atom
N(E_F) ... 5.47 states/eV/cell

Unit cell a=4.978 b=4.978 c=9.371 alpha=74.60 beta=74.60 gamma=90.00
Fractional coordinates of all 7 atoms:
Sr 0.658 0.658 0.685
Sr 0.342 0.342 0.315
Sn 0.849 0.849 0.302
Sn 0.151 0.151 0.698
Sn 0.000 0.500 0.000
Sn 0.500 0.000 0.000
Fe 0.000 0.000 0.000

=====

No. 3
VASP calculation (GGA-PBE) on a relaxed structure of Li2ZrCl.

Computed properties:
Total energy ... -3.945 eV per atom
Energy above the most stable polymorph in this dataset ... 206 meV per atom
E_form (uncorrected) ... -37.5 kJ per mole of atoms
N(E_F) ... 2.66 states/eV/cell

Unit cell a=8.310 b=8.310 c=8.310 alpha=158.14 beta=158.00 gamma=31.21
Fractional coordinates of all 4 atoms:
Cl 0.287 0.787 0.500
Li 0.062 0.062 0.000
Li 0.722 0.222 0.500
Zr 0.429 0.429 0.000

=====

No. 4
VASP calculation (GGA-PBE) on a relaxed structure of RbThAlS4.

Computed properties:
Total energy ... -5.672 eV per atom
E_form (uncorrected) ... -152.5 kJ per mole of atoms
N(E_F) ... 0.00 states/eV/cell

Unit cell a=6.634 b=6.701 c=9.219 alpha=90.00 beta=107.97 gamma=90.00
Fractional coordinates of all 14 atoms:
Rb 0.728 0.750 0.938
Rb 0.272 0.250 0.062
Th 0.769 0.750 0.448
Th 0.231 0.250 0.552
Al 0.227 0.750 0.332
Al 0.773 0.250 0.668
S 0.006 0.505 0.699
S 0.994 0.005 0.301
S 0.994 0.495 0.301
S 0.006 0.995 0.699
S 0.429 0.750 0.179
S 0.571 0.250 0.821
S 0.437 0.750 0.575
S 0.563 0.250 0.425